The following is a PBE calculation of an optimized crystal structure of PuZr2Hg, from Alexandria via LeMat-Bulk.

Structure (CIF):
```
data_PuZr2Hg
_chemical_formula_sum 'Pu1 Zr2 Hg1'
_cell_length_a 3.294
_cell_length_b 3.294
_cell_length_c 8.456
_cell_angle_alpha 90.00
_cell_angle_beta 90.00
_cell_angle_gamma 90.00
_space_group_name_H-M_alt 'P 4/m m m'
_space_group_IT_number 123
_space_group_name_Hall '-P 4 2'
loop_
_atom_site_label
_atom_site_type_symbol
_atom_site_fract_x
_atom_site_fract_y
_atom_site_fract_z
Pu1 Pu 0.000 0.000 0.000
Zr1 Zr 0.500 0.500 0.260
Hg1 Hg 0.000 0.000 0.500
```

The following is a PBE calculation of an optimized crystal structure of PuZr12Hg3, from Alexandria via LeMat-Bulk.

Structure (CIF):
```
data_PuZr12Hg3
_chemical_formula_sum 'Pu1 Zr12 Hg3'
_cell_length_a 4.478
_cell_length_b 4.478
_cell_length_c 17.825
_cell_angle_alpha 90.00
_cell_angle_beta 90.00
_cell_angle_gamma 90.00
_space_group_name_H-M_alt 'P 4/m m m'
_space_group_IT_number 123
_space_group_name_Hall '-P 4 2'
loop_
_atom_site_label
_atom_site_type_symbol
_atom_site_fract_x
_atom_site_fract_y
_atom_site_fract_z
Pu1 Pu 0.000 0.000 0.000
Zr1 Zr 0.000 0.500 0.126
Zr2 Zr 0.000 0.500 0.376
Zr3 Zr 0.500 0.500 0.000
Zr4 Zr 0.500 0.500 0.254
Zr5 Zr 0.500 0.500 0.500
Hg1 Hg 0.000 0.000 0.252
Hg2 Hg 0.000 0.000 0.500
```

The following is a PBE calculation of an optimized crystal structure of PuZr2Hg, from Alexandria via LeMat-Bulk.

Structure (CIF):
```
data_PuZr2Hg
_chemical_formula_sum 'Pu1 Zr2 Hg1'
_cell_length_a 5.171
_cell_length_b 5.171
_cell_length_c 3.325
_cell_angle_alpha 90.00
_cell_angle_beta 90.00
_cell_angle_gamma 90.00
_space_group_name_H-M_alt 'P 4/m m m'
_space_group_IT_number 123
_space_group_name_Hall '-P 4 2'
loop_
_atom_site_label
_atom_site_type_symbol
_atom_site_fract_x
_atom_site_fract_y
_atom_site_fract_z
Pu1 Pu 0.000 0.000 0.000
Zr1 Zr 0.000 0.500 0.500
Hg1 Hg 0.500 0.500 0.000
```

The following is a PBE calculation of an optimized crystal structure of Rb2Hg, from Alexandria via LeMat-Bulk.

Structure (CIF):
```
data_Rb2Hg
_chemical_formula_sum 'Rb4 Hg2'
_cell_length_a 4.602
_cell_length_b 4.602
_cell_length_c 16.064
_cell_angle_alpha 90.00
_cell_angle_beta 90.00
_cell_angle_gamma 90.00
_space_group_name_H-M_alt 'I 4/m m m'
_space_group_IT_number 139
_space_group_name_Hall '-I 4 2'
loop_
_atom_site_label
_atom_site_type_symbol
_atom_site_fract_x
_atom_site_fract_y
_atom_site_fract_z
Rb1 Rb 0.000 0.000 0.133
Hg1 Hg 0.000 0.000 0.500
```

The following is a PBE calculation of an optimized crystal structure of Rb13Hg2, from Alexandria via LeMat-Bulk.

Structure (CIF):
```
data_Rb13Hg2
_chemical_formula_sum 'Rb13 Hg2'
_cell_length_a 9.222
_cell_length_b 11.082
_cell_length_c 12.535
_cell_angle_alpha 64.69
_cell_angle_beta 80.77
_cell_angle_gamma 78.06
_space_group_name_H-M_alt 'P -1'
_space_group_IT_number 2
loop_
_space_group_symop_operation_xyz
'x,y,z'
'-x,-y,-z'
loop_
_atom_site_label
_atom_site_type_symbol
_atom_site_fract_x
_atom_site_fract_y
_atom_site_fract_z
Rb1 Rb 0.000 0.000 0.000
Rb2 Rb 0.043 0.183 0.343
Rb3 Rb 0.165 0.677 0.355
Rb4 Rb 0.232 0.576 0.006
Rb5 Rb 0.288 0.352 0.744
Rb6 Rb 0.467 0.085 0.139
Rb7 Rb 0.489 0.775 0.572
Hg1 Hg 0.201 0.053 0.670
```

The following is a PBE calculation of an optimized crystal structure of Rb6Hg, from Alexandria via LeMat-Bulk.

Structure (CIF):
```
data_Rb6Hg
_chemical_formula_sum 'Rb6 Hg1'
_cell_length_a 8.7662
_cell_length_b 8.7662
_cell_length_c 8.2446
_cell_angle_alpha 90.00
_cell_angle_beta 90.00
_cell_angle_gamma 120.00
_space_group_name_H-M_alt 'P -3 1 m'
_space_group_IT_number 162
_space_group_name_Hall '-P 3 2'
loop_
_atom_site_label
_atom_site_type_symbol
_atom_site_fract_x
_atom_site_fract_y
_atom_site_fract_z
Rb1 Rb 0.0000 0.3419 0.2548
Hg1 Hg 0.0000 0.0000 0.0000
```

Number 1: formation energy -0.035 eV per atom. Number 2: formation energy -0.084 eV per atom. Number 3: formation energy -0.039 eV per atom. Number 4: formation energy -0.140 eV per atom. Number 5: formation energy -0.052 eV per atom. Number 6: formation energy -0.050 eV per atom.